[1]
First-principles (GGA-PBE) data for DyHoSiHg after structural relaxation, as listed in Alexandria.

Unit cell a=5.0989 b=5.0989 c=5.0989 alpha=60.00 beta=60.00 gamma=60.00
Last column: nearest neighbours and their distance in Å.
Sites, in units of the cell vectors:
Hg (0.7500, 0.7500, 0.7500)  4 Dy 3.12, 4 Ho 3.12
Ho (0.0000, 0.0000, 0.0000)  4 Hg 3.12, 4 Si 3.12
Si (0.2500, 0.2500, 0.2500)  4 Dy 3.12, 4 Ho 3.12
Dy (0.5000, 0.5000, 0.5000)  4 Hg 3.12, 4 Si 3.12

Output
uncorrected formation energy	-0.4576	eV per atom

[2]
First-principles (GGA-PBE) data for SmDy2HoHg4 after structural relaxation, as listed in Alexandria.

Unit cell a=5.2809 b=5.2809 c=9.1697 alpha=73.26 beta=73.26 gamma=60.00
Last column: nearest neighbours and their distance in Å.
Sites, in units of the cell vectors:
Hg (0.8738, 0.8738, 0.3785)  4 Dy 3.20-3.24, 3 Ho 3.22, 1 Sm 3.27
Hg (0.6235, 0.6235, 0.1294)  1 Ho 3.21, 4 Dy 3.23-3.30, 3 Sm 3.25
Dy (0.7506, 0.7506, 0.7482)  8 Hg 3.20-3.30
Sm (0.0000, 0.0000, 0.0000)  8 Hg 3.25-3.27
Hg (0.3765, 0.3765, 0.8706)  1 Ho 3.21, 4 Dy 3.23-3.30, 3 Sm 3.25
Ho (0.5000, 0.5000, 0.5000)  8 Hg 3.21-3.22
Hg (0.1262, 0.1262, 0.6215)  4 Dy 3.20-3.24, 3 Ho 3.22, 1 Sm 3.27
Dy (0.2494, 0.2494, 0.2518)  8 Hg 3.20-3.30

Output
formation energy	-0.475	eV/atom

[3]
First-principles (GGA-PBE) data for DyHoTcHg after structural relaxation, as listed in Alexandria.

Unit cell a=5.0251 b=5.0251 c=5.0251 alpha=60.00 beta=60.00 gamma=60.00
Last column: nearest neighbours and their distance in Å.
Sites, in units of the cell vectors:
Dy (0.5000, 0.5000, 0.5000)  4 Hg 3.08, 4 Tc 3.08
Hg (0.7500, 0.7500, 0.7500)  4 Dy 3.08, 4 Ho 3.08
Ho (0.0000, 0.0000, 0.0000)  4 Hg 3.08, 4 Tc 3.08
Tc (0.2500, 0.2500, 0.2500)  4 Dy 3.08, 4 Ho 3.08

Output
formation energy	-0.162	eV/atom

[4]
First-principles (GGA-PBE) data for DyHoHgTe after structural relaxation, as listed in Alexandria.

Unit cell a=4.1304 b=4.1304 c=8.1369 alpha=75.30 beta=75.30 gamma=60.00
Last column: nearest neighbours and their distance in Å.
Sites, in units of the cell vectors:
Hg (0.2504, 0.2504, 0.2488)  3 Ho 3.06, 3 Dy 3.07
Dy (0.5009, 0.5009, 0.4972)  3 Hg 3.07, 3 Te 3.10
Te (0.7496, 0.7496, 0.7512)  3 Ho 3.09, 3 Dy 3.10
Ho (0.9991, 0.9991, 0.0028)  3 Hg 3.06, 3 Te 3.09

Output
uncorrected formation energy	-0.8510	eV per atom